1.
The following is a PBE calculation of Li2CdIn2 after structural relaxation, from Alexandria via LeMat-Bulk.

Output
crystal system = monoclinic
formation energy = -0.201 eV per atom
excess energy over the best structure of this formula in the dataset = 0 meV per atom
calculated total energy = -2.245 eV per atom

a b c (Å): 16.9018 4.9718 5.0032
angles (deg): 90.00 90.42 90.00
Last column: nearest neighbours and their distance in Å.
Space group C2/c (No. 15)
One atom of each set of equivalent atoms:
Li 0.0931 0.2066 0.2498  4 Cd 2.93-3.00, 4 In 2.98-3.04, 3 Li 3.15-3.24
Cd 0.0000 0.2918 0.7500  8 Li 2.93-3.00, 2 In 3.23, 2 Cd 3.25
In 0.1908 0.2933 0.7506  4 Li 2.98-3.04, 6 In 3.19-3.25, 1 Cd 3.23

=====

2.
The following is a PBE calculation of Li2Cd2In after structural relaxation, from Alexandria via LeMat-Bulk.

Output
crystal system = tetragonal
formation energy = -0.048 eV per atom
excess energy over the best structure of this formula in the dataset = 174 meV per atom
calculated total energy = -1.727 eV per atom

a b c (Å): 3.8738 3.8738 14.7959
angles (deg): 90.00 90.00 90.00
Last column: nearest neighbours and their distance in Å.
Space group I4/mmm (No. 139)
One atom of each set of equivalent atoms:
Li 0.0000 0.5000 0.2500  4 Li 2.74, 4 Cd 2.84
Cd 0.0000 0.0000 0.1093  4 Li 2.84, 4 In 3.18
In 0.0000 0.0000 0.5000  8 Cd 3.18

=====

3.
The following is a PBE calculation of Li3CdIn2 after structural relaxation, from Alexandria via LeMat-Bulk.

Output
crystal system = tetragonal
formation energy = -0.271 eV per atom
calculated total energy = -2.293 eV per atom

a b c (Å): 3.4006 3.4006 9.9610
angles (deg): 90.00 90.00 90.00
Last column: nearest neighbours and their distance in Å.
Space group P4/mmm (No. 123)
One atom of each set of equivalent atoms:
Li 0.0000 0.0000 0.0000  8 In 2.92
Li 0.0000 0.0000 0.3346  4 Cd 2.91, 4 In 2.93
Cd 0.5000 0.5000 0.5000  8 Li 2.91
In 0.5000 0.5000 0.1662  8 Li 2.92-2.93

=====

4.
The following is a PBE calculation of Li6Cd2In3 after structural relaxation, from Alexandria via LeMat-Bulk.

Output
crystal system = tetragonal
formation energy = -0.016 eV per atom
calculated total energy = -1.973 eV per atom

a b c (Å): 5.0356 5.0356 20.3155
angles (deg): 90.00 90.00 90.00
Last column: nearest neighbours and their distance in Å.
Space group I4/mmm (No. 139)
One atom of each set of equivalent atoms:
Li 0.0000 0.0000 0.2020  1 Cd 2.74, 1 In 2.82
Li 0.0000 0.5000 0.0935  2 Cd 2.57, 2 In 2.85
Cd 0.0000 0.0000 0.0674  5 Li 2.57-2.74, 1 Cd 2.74
In 0.0000 0.0000 0.3410  5 Li 2.82-2.85
In 0.0000 0.0000 0.5000  8 Li 3.15, 2 In 3.23